Arrangement P

Here is a relaxed BaSbBr3 crystal from Alexandria. Energies are from PBE-GGA.

* calculated density: 4.12 g cm⁻³
* crystal system: cubic
* size of the total moment: 0.0 μB/cell
* DOS(E_F): 0.617 states/eV per atom

```
BaSbBr3
1.0
-1.965 -4.797 -2.727
3.910 -3.253 2.905
-3.894 -0.846 4.293
Sb Ba Br
1 1 3
Cartesian
0.000 0.000 0.000
-0.974 -4.448 2.236
1.955 -1.626 1.453
-1.947 -0.423 2.147
-0.982 -2.399 -1.363
```

Arrangement Q

Here is a relaxed BaSbBr3 crystal from Alexandria. Energies are from PBE-GGA.

* calculated density: 3.35 g cm⁻³
* crystal system: cubic
* size of the total moment: 2.0 μB/cell
* DOS(E_F): 2.313 states/eV per atom

```
BaSbBr3
1.0
6.278 0.000 0.000
0.000 6.278 0.000
0.000 0.000 6.278
Sb Ba Br
1 1 3
Cartesian
3.139 3.139 3.139
0.000 0.000 0.000
0.000 3.139 0.000
0.000 0.000 3.139
3.139 0.000 0.000
```

The structure with the greatest stability is arrangement P.

Arrangement P

Here is a relaxed BaSbTe2Br crystal from Alexandria. Energies are from PBE-GGA.

* calculated density: 5.23 g cm⁻³
* crystal system: tetragonal
* size of the total moment: 0.0 μB/cell
* DOS(E_F): 1.581 states/eV per atom

```
BaSbTe2Br
1.0
-3.414 2.187 4.259
-1.124 -5.451 1.898
4.317 0.267 3.323
Sb Te Ba Br
1 2 1 1
Cartesian
2.158 0.133 1.662
-0.562 -2.725 0.949
-1.707 1.093 2.129
-0.111 -1.499 4.740
0.000 0.000 0.000
```

Arrangement Q

Here is a relaxed BaSbTe2Br crystal from Alexandria. Energies are from PBE-GGA.

* calculated density: 3.40 g cm⁻³
* crystal system: tetragonal
* size of the total moment: 2.5 μB/cell
* DOS(E_F): 2.111 states/eV per atom

```
BaSbTe2Br
1.0
-2.638 0.508 5.993
1.552 -6.265 1.215
5.945 1.948 2.452
Sb Te Ba Br
1 2 1 1
Cartesian
2.972 0.974 1.226
0.776 -3.132 0.607
-1.319 0.254 2.996
0.000 0.000 0.000
2.429 -1.905 4.830
```

The structure with the greatest stability is arrangement P.

Arrangement P

Here is a relaxed BaSb2TeBr crystal from Alexandria. Energies are from PBE-GGA.

* calculated density: 3.54 g cm⁻³
* crystal system: tetragonal
* size of the total moment: 1.0 μB/cell
* DOS(E_F): 1.696 states/eV per atom

```
BaSb2TeBr
1.0
-1.539 1.405 -6.235
-5.352 -3.789 0.467
-3.396 5.040 1.974
Sb Te Ba Br
2 1 1 1
Cartesian
-2.676 -1.895 0.234
-0.770 0.702 -3.118
-1.698 2.520 0.987
0.000 0.000 0.000
-5.143 1.327 -1.897
```

Arrangement Q

Here is a relaxed BaSb2TeBr crystal from Alexandria. Energies are from PBE-GGA.

* calculated density: 5.27 g cm⁻³
* crystal system: tetragonal
* size of the total moment: 0.0 μB/cell
* DOS(E_F): 0.891 states/eV per atom

```
BaSb2TeBr
1.0
-2.177 3.331 3.913
-0.362 -4.338 3.492
5.464 1.182 2.035
Sb Te Ba Br
2 1 1 1
Cartesian
-0.181 -2.169 1.746
-1.089 1.665 1.956
2.732 0.591 1.017
1.462 0.087 4.720
0.000 0.000 0.000
```

The structure with the greatest stability is arrangement Q.

Arrangement P

Here is a relaxed BaScBr2 crystal from Alexandria. Energies are from PBE-GGA.

* calculated density: 3.81 g cm⁻³
* crystal system: tetragonal
* size of the total moment: 4.7 μB/cell
* DOS(E_F): 0.932 states/eV per atom

```
BaScBr2
1.0
5.751 0.000 0.000
0.000 5.751 0.000
2.875 2.875 9.017
Sc Ba Br
2 2 4
Cartesian
2.875 2.875 0.000
2.875 5.751 4.508
0.000 0.000 0.000
5.751 2.875 4.508
3.876 1.438 2.254
1.875 4.313 2.254
4.313 4.750 6.762
7.188 6.751 6.762
```

Arrangement Q

Here is a relaxed BaScBr2 crystal from Alexandria. Energies are from PBE-GGA.

* calculated density: 4.54 g cm⁻³
* crystal system: tetragonal
* size of the total moment: 0.9 μB/cell
* DOS(E_F): 0.945 states/eV per atom

```
BaScBr2
1.0
-3.342 2.064 -0.808
-1.983 -3.437 -0.580
-1.922 -0.163 7.537
Ba Br Sc
1 2 1
Cartesian
-4.136 -0.811 5.083
-0.036 -0.003 0.142
-3.281 -0.739 1.733
-0.755 -0.064 2.960
```

The structure with the greatest stability is arrangement Q.